(1)
First-principles (PBE) data for crystalline SrV at its relaxed geometry, as listed in the Alexandria database. Values from VASP.

Output
V   30.33 A^3/atom
Energy relative to the elements   62.3 kJ per mole of atoms
Calculated density   3.793 g/cm³

Structure (Quantum ESPRESSO input):
```
&SYSTEM
  ibrav = 0, nat = 16, ntyp = 2
/
ATOMIC_SPECIES
Sr 87.62 Sr.upf
V 50.94 V.upf
CELL_PARAMETERS angstrom
11.985 0.000 0.000
0.000 11.985 0.000
0.000 0.000 3.379
ATOMIC_POSITIONS crystal
Sr 0.188 0.886 0.000
Sr 0.812 0.114 0.000
Sr 0.114 0.188 0.000
Sr 0.886 0.812 0.000
Sr 0.688 0.386 0.500
Sr 0.312 0.614 0.500
Sr 0.614 0.688 0.500
Sr 0.386 0.312 0.500
V 0.409 0.058 0.000
V 0.591 0.942 0.000
V 0.942 0.409 0.000
V 0.058 0.591 0.000
V 0.909 0.558 0.500
V 0.091 0.442 0.500
V 0.442 0.909 0.500
V 0.558 0.091 0.500
```


(2)
First-principles (PBE) data for crystalline SrV at its relaxed geometry, as listed in the Alexandria database. Values from VASP.

Output
V   30.72 A^3/atom
Energy relative to the elements   114.2 kJ per mole of atoms
Calculated density   3.744 g/cm³

Structure (Quantum ESPRESSO input):
```
&SYSTEM
  ibrav = 0, nat = 6, ntyp = 2
/
ATOMIC_SPECIES
Sr 87.62 Sr.upf
V 50.94 V.upf
CELL_PARAMETERS angstrom
-3.004 1.979 -0.546
-0.276 -3.500 0.954
-0.029 4.231 15.511
ATOMIC_POSITIONS crystal
Sr 0.000 0.000 0.500
Sr 0.333 0.667 0.167
Sr 0.667 0.333 0.833
V 0.000 0.000 0.000
V 0.333 0.667 0.667
V 0.667 0.333 0.333
```


(3)
First-principles (PBE) data for crystalline SrV at its relaxed geometry, as listed in the Alexandria database. Values from VASP.

Output
V   37.38 A^3/atom
Energy relative to the elements   139.6 kJ per mole of atoms
Calculated density   3.078 g/cm³

Structure (Quantum ESPRESSO input):
```
&SYSTEM
  ibrav = 0, nat = 8, ntyp = 2
/
ATOMIC_SPECIES
Sr 87.62 Sr.upf
V 50.94 V.upf
CELL_PARAMETERS angstrom
-2.208 2.846 -5.634
-1.715 -6.015 -2.366
-6.075 0.664 2.716
ATOMIC_POSITIONS crystal
Sr 0.500 0.500 0.500
Sr 0.500 0.000 0.000
Sr 0.000 0.500 0.000
Sr 0.000 0.000 0.500
V 0.000 0.000 0.000
V 0.000 0.500 0.500
V 0.500 0.000 0.500
V 0.500 0.500 0.000
```


(4)
First-principles (PBE) data for crystalline SrV at its relaxed geometry, as listed in the Alexandria database. Values from VASP.

Output
V   37.03 A^3/atom
Energy relative to the elements   90.4 kJ per mole of atoms
Calculated density   3.106 g/cm³

Structure (Quantum ESPRESSO input):
```
&SYSTEM
  ibrav = 0, nat = 16, ntyp = 2
/
ATOMIC_SPECIES
Sr 87.62 Sr.upf
V 50.94 V.upf
CELL_PARAMETERS angstrom
12.214 0.000 0.000
0.000 12.214 0.000
0.000 0.000 3.972
ATOMIC_POSITIONS crystal
Sr 0.756 0.500 0.000
Sr 0.244 0.500 0.000
Sr 0.500 0.244 0.000
Sr 0.500 0.756 0.000
Sr 0.256 0.000 0.500
Sr 0.744 0.000 0.500
Sr 0.000 0.744 0.500
Sr 0.000 0.256 0.500
V 0.225 0.225 0.000
V 0.225 0.775 0.000
V 0.775 0.225 0.000
V 0.775 0.775 0.000
V 0.725 0.725 0.500
V 0.725 0.275 0.500
V 0.275 0.725 0.500
V 0.275 0.275 0.500
```


(5)
First-principles (PBE) data for crystalline SrV at its relaxed geometry, as listed in the Alexandria database. Values from VASP.

Output
V   39.74 A^3/atom
Energy relative to the elements   127.3 kJ per mole of atoms
Calculated density   2.895 g/cm³

Structure (Quantum ESPRESSO input):
```
&SYSTEM
  ibrav = 0, nat = 12, ntyp = 2
/
ATOMIC_SPECIES
Sr 87.62 Sr.upf
V 50.94 V.upf
CELL_PARAMETERS angstrom
-5.170 10.809 0.583
-3.791 -8.855 7.150
2.531 1.067 2.664
ATOMIC_POSITIONS crystal
Sr 0.821 0.642 0.250
Sr 0.179 0.821 0.750
Sr 0.358 0.179 0.250
Sr 0.179 0.358 0.750
Sr 0.821 0.179 0.250
Sr 0.642 0.821 0.750
V 0.519 0.037 0.250
V 0.481 0.519 0.750
V 0.963 0.481 0.250
V 0.481 0.963 0.750
V 0.519 0.481 0.250
V 0.037 0.519 0.750
```


(6)
First-principles (PBE) data for crystalline SrV at its relaxed geometry, as listed in the Alexandria database. Values from VASP.

Output
V   31.85 A^3/atom
Energy relative to the elements   98.4 kJ per mole of atoms
Calculated density   3.612 g/cm³

Structure (Quantum ESPRESSO input):
```
&SYSTEM
  ibrav = 0, nat = 2, ntyp = 2
/
ATOMIC_SPECIES
Sr 87.62 Sr.upf
V 50.94 V.upf
CELL_PARAMETERS angstrom
-3.012 -2.604 -0.166
2.489 -2.791 -1.378
0.789 -1.153 3.760
ATOMIC_POSITIONS crystal
Sr 0.000 0.000 0.000
V 0.500 0.500 0.500
```


(7)
First-principles (PBE) data for crystalline SrV at its relaxed geometry, as listed in the Alexandria database. Values from VASP.

Output
V   30.00 A^3/atom
Energy relative to the elements   72.0 kJ per mole of atoms
Calculated density   3.834 g/cm³

Structure (Quantum ESPRESSO input):
```
&SYSTEM
  ibrav = 0, nat = 32, ntyp = 2
/
ATOMIC_SPECIES
Sr 87.62 Sr.upf
V 50.94 V.upf
CELL_PARAMETERS angstrom
10.231 0.000 0.000
0.000 15.124 0.000
0.000 0.000 6.205
ATOMIC_POSITIONS crystal
Sr 0.331 0.000 0.000
Sr 0.669 0.000 0.000
Sr 0.919 0.750 0.250
Sr 0.581 0.750 0.250
Sr 0.331 0.500 0.500
Sr 0.669 0.500 0.500
Sr 0.919 0.250 0.750
Sr 0.581 0.250 0.750
Sr 0.831 0.000 0.500
Sr 0.169 0.000 0.500
Sr 0.419 0.750 0.750
Sr 0.081 0.750 0.750
Sr 0.831 0.500 0.000
Sr 0.169 0.500 0.000
Sr 0.419 0.250 0.250
Sr 0.081 0.250 0.250
V 0.000 0.939 0.000
V 0.000 0.061 0.000
V 0.250 0.811 0.250
V 0.250 0.689 0.250
V 0.000 0.439 0.500
V 0.000 0.561 0.500
V 0.250 0.311 0.750
V 0.250 0.189 0.750
V 0.500 0.939 0.500
V 0.500 0.061 0.500
V 0.750 0.811 0.750
V 0.750 0.689 0.750
V 0.500 0.439 0.000
V 0.500 0.561 0.000
V 0.750 0.311 0.250
V 0.750 0.189 0.250
```


(8)
First-principles (PBE) data for crystalline SrV at its relaxed geometry, as listed in the Alexandria database. Values from VASP.

Output
V   31.22 A^3/atom
Energy relative to the elements   114.8 kJ per mole of atoms
Calculated density   3.685 g/cm³

Structure (Quantum ESPRESSO input):
```
&SYSTEM
  ibrav = 0, nat = 2, ntyp = 2
/
ATOMIC_SPECIES
Sr 87.62 Sr.upf
V 50.94 V.upf
CELL_PARAMETERS angstrom
-2.448 0.249 2.728
-0.680 -2.169 -2.886
2.375 -4.077 2.504
ATOMIC_POSITIONS crystal
Sr 0.000 0.000 0.000
V 0.667 0.333 0.500
```


(9)
First-principles (PBE) data for crystalline SrV at its relaxed geometry, as listed in the Alexandria database. Values from VASP.

Output
V   30.03 A^3/atom
Energy relative to the elements   60.5 kJ per mole of atoms
Calculated density   3.831 g/cm³

Structure (Quantum ESPRESSO input):
```
&SYSTEM
  ibrav = 0, nat = 16, ntyp = 2
/
ATOMIC_SPECIES
Sr 87.62 Sr.upf
V 50.94 V.upf
CELL_PARAMETERS angstrom
-0.657 -0.622 -5.972
6.697 -7.727 0.067
-5.817 -5.031 1.164
ATOMIC_POSITIONS crystal
Sr 0.752 0.425 0.399
Sr 0.252 0.075 0.101
Sr 0.248 0.925 0.601
Sr 0.748 0.575 0.899
Sr 0.248 0.575 0.601
Sr 0.748 0.925 0.899
Sr 0.752 0.075 0.399
Sr 0.252 0.425 0.101
V 0.237 0.250 0.539
V 0.737 0.250 0.961
V 0.763 0.750 0.461
V 0.263 0.750 0.039
V 0.544 0.250 0.769
V 0.044 0.250 0.731
V 0.456 0.750 0.231
V 0.956 0.750 0.269
```


(10)
First-principles (PBE) data for crystalline SrV at its relaxed geometry, as listed in the Alexandria database. Values from VASP.

Output
V   33.96 A^3/atom
Energy relative to the elements   70.7 kJ per mole of atoms
Calculated density   3.388 g/cm³

Structure (Quantum ESPRESSO input):
```
&SYSTEM
  ibrav = 0, nat = 12, ntyp = 2
/
ATOMIC_SPECIES
Sr 87.62 Sr.upf
V 50.94 V.upf
CELL_PARAMETERS angstrom
4.174 0.000 0.000
0.000 6.566 0.000
0.000 0.000 14.868
ATOMIC_POSITIONS crystal
Sr 0.000 0.754 0.777
Sr 0.500 0.246 0.723
Sr 0.500 0.246 0.277
Sr 0.000 0.754 0.223
Sr 0.000 0.522 0.500
Sr 0.500 0.478 0.000
V 0.000 0.025 0.574
V 0.500 0.975 0.926
V 0.500 0.975 0.074
V 0.000 0.025 0.426
V 0.000 0.988 0.000
V 0.500 0.012 0.500
```


(11)
First-principles (PBE) data for crystalline SrV at its relaxed geometry, as listed in the Alexandria database. Values from VASP.

Output
V   35.44 A^3/atom
Energy relative to the elements   102.5 kJ per mole of atoms
Calculated density   3.246 g/cm³

Structure (Quantum ESPRESSO input):
```
&SYSTEM
  ibrav = 0, nat = 8, ntyp = 2
/
ATOMIC_SPECIES
Sr 87.62 Sr.upf
V 50.94 V.upf
CELL_PARAMETERS angstrom
6.658 0.000 0.000
0.000 6.658 0.000
0.000 0.000 6.395
ATOMIC_POSITIONS crystal
Sr 0.177 0.177 0.000
Sr 0.677 0.323 0.500
Sr 0.323 0.677 0.500
Sr 0.823 0.823 0.000
V 0.403 0.597 0.000
V 0.903 0.903 0.500
V 0.097 0.097 0.500
V 0.597 0.403 0.000
```